! GGA-PBEsol TiGeIr, optimized geometry; values from VASP
! Energy of formation from the pure elements in eV/atom: -0.76
! SG: Pnma, No. 62
&SYSTEM
  ibrav = 0, nat = 12, ntyp = 3
/
ATOMIC_SPECIES
Ti 47.87 Ti.upf
Ge 72.64 Ge.upf
Ir 192.22 Ir.upf
CELL_PARAMETERS angstrom
6.2291 0.0000 0.0000
0.0000 3.9368 0.0000
0.0000 0.0000 7.3444
ATOMIC_POSITIONS crystal
Ti 0.0278 0.2500 0.1885
Ti 0.4722 0.7500 0.6885
Ti 0.5278 0.2500 0.3115
Ti 0.9722 0.7500 0.8115
Ge 0.2430 0.7500 0.3784
Ge 0.2570 0.2500 0.8784
Ge 0.7430 0.7500 0.1216
Ge 0.7570 0.2500 0.6216
Ir 0.1538 0.2500 0.5594
Ir 0.3462 0.7500 0.0594
Ir 0.6538 0.2500 0.9406
Ir 0.8462 0.7500 0.4406